1.
This record from Alexandria describes Na3Ce2NpTe6 after structural relaxation. The functional is PBE-GGA.

```
Na3Ce2NpTe6
1.0
3.941 -6.826 0.000
3.941 6.826 0.000
-2.627 0.000 7.497
Na Ce Np Te
3 2 1 6
direct
0.000 0.000 0.000
0.333 0.667 0.000
0.667 0.333 0.000
0.167 0.833 0.500
0.833 0.167 0.500
0.500 0.500 0.500
0.090 0.421 0.262
0.249 0.249 0.738
0.421 0.090 0.262
0.579 0.910 0.738
0.751 0.751 0.262
0.910 0.579 0.738
```

## Properties
As for the calculated density: 5.56 g cm⁻³. The calculation puts the total energy at -60.93 eV for the cell shown.

=====

2.
This record from Alexandria describes Na3CeNp2Te6 after structural relaxation. The functional is PBE-GGA.

```
Na3CeNp2Te6
1.0
3.909 -6.771 0.000
3.909 6.771 0.000
-2.606 0.000 7.520
Na Ce Np Te
3 1 2 6
direct
0.000 0.000 0.000
0.335 0.665 0.000
0.665 0.335 0.000
0.500 0.500 0.500
0.167 0.833 0.500
0.833 0.167 0.500
0.084 0.421 0.264
0.241 0.241 0.736
0.421 0.084 0.264
0.579 0.916 0.736
0.759 0.759 0.264
0.916 0.579 0.736
```

## Properties
As for the calculated density: 6.04 g cm⁻³. The calculation puts the total energy at -66.14 eV for the cell shown.

=====

Computed values of uncorrected formation energy (unit: eV/atom) for the preceding records, in sequence: -1.11, -0.96.